No. 1
A geometry-optimized TmAg8Au2 structure, computed with PBE.

Properties
space group	No. 12

Cell: 4.898 7.505 7.505 Å, 62.01 78.88 78.88°
Sites, in units of the cell vectors:
1 Au 0.437 0.128 0.128
2 Au 0.563 0.872 0.872
3 Ag 0.692 0.642 0.642
4 Ag 0.774 0.613 0.253
5 Ag 0.774 0.253 0.613
6 Ag 0.126 0.763 0.763
7 Ag 0.308 0.358 0.358
8 Ag 0.226 0.747 0.387
9 Ag 0.874 0.237 0.237
10 Ag 0.226 0.387 0.747
11 Tm 0.000 0.000 0.000



No. 2
A geometry-optimized TmAgAu structure, computed with PBE.

Properties
E above lowest polymorph	34.4	kJ/mol of formula units
space group	No. 187

Cell: 3.372 4.702 4.702 Å, 120.00 90.00 90.00°
Sites, in units of the cell vectors:
1 Ag 0.167 0.000 0.000
2 Au 0.166 0.333 0.667
3 Tm 0.667 0.667 0.333



No. 3
A geometry-optimized TmAgAu4 structure, computed with PBE.

Properties
E above lowest polymorph	38.5	kJ/mol of formula units
space group	No. 216

Cell: 5.519 5.519 5.519 Å, 60.00 60.00 60.00°
Sites, in units of the cell vectors:
1 Ag 0.250 0.250 0.250
2 Au 0.625 0.625 0.126
3 Au 0.625 0.625 0.625
4 Au 0.625 0.126 0.625
5 Au 0.126 0.625 0.625
6 Tm 0.000 0.000 0.000



No. 4
A geometry-optimized TmAgAu2 structure, computed with PBE.

Properties
space group	No. 123

Cell: 3.558 3.558 6.346 Å, 90.00 90.00 90.00°
Sites, in units of the cell vectors:
1 Ag 0.500 0.500 0.000
2 Au 0.000 0.000 0.240
3 Au 0.000 0.000 0.760
4 Tm 0.500 0.500 0.500



No. 5
A geometry-optimized TmAg5Au4 structure, computed with PBE.

Properties
space group	No. 59

Cell: 4.853 8.374 9.916 Å, 90.00 90.00 90.00°
Sites, in units of the cell vectors:
1 Ag 0.746 0.670 0.762
2 Ag 0.746 0.330 0.238
3 Ag 0.316 0.000 0.500
4 Ag 0.746 0.330 0.762
5 Ag 0.254 0.170 0.262
6 Ag 0.684 0.500 0.000
7 Ag 0.746 0.670 0.238
8 Ag 0.254 0.170 0.738
9 Ag 0.254 0.830 0.738
10 Ag 0.254 0.830 0.262
11 Au 0.079 0.772 0.000
12 Au 0.245 0.500 0.807
13 Au 0.755 0.000 0.693
14 Au 0.921 0.728 0.500
15 Au 0.921 0.272 0.500
16 Au 0.755 0.000 0.307
17 Au 0.245 0.500 0.193
18 Au 0.079 0.228 0.000
19 Tm 0.601 0.000 0.000
20 Tm 0.399 0.500 0.500



No. 6
A geometry-optimized YTmAgAu structure, computed with PBE.

Properties
E above lowest polymorph	0.0	kJ/mol of formula units
space group	No. 99

Cell: 3.577 3.577 7.266 Å, 90.00 90.00 90.00°
Sites, in units of the cell vectors:
1 Y 0.500 0.500 0.602
2 Au 0.000 0.000 0.346
3 Tm 0.500 0.500 0.112
4 Ag 0.000 0.000 0.868



No. 7
A geometry-optimized YTmAgAu structure, computed with PBE.

Properties
E above lowest polymorph	3.8	kJ/mol of formula units
space group	No. 216

Cell: 5.085 5.085 5.085 Å, 60.00 60.00 60.00°
Sites, in units of the cell vectors:
1 Tm 0.500 0.500 0.500
2 Y 0.000 0.000 0.000
3 Ag 0.250 0.250 0.250
4 Au 0.750 0.750 0.750



No. 8
A geometry-optimized TmZn2AgAu2 structure, computed with PBE.

Properties
space group	No. 164

Cell: 4.553 4.553 6.223 Å, 90.00 90.00 120.00°
Sites, in units of the cell vectors:
1 Au 0.667 0.333 0.753
2 Au 0.333 0.667 0.247
3 Zn 0.333 0.667 0.701
4 Zn 0.667 0.333 0.299
5 Ag 0.000 0.000 0.500
6 Tm 0.000 0.000 0.000



Density list, top to bottom, in g/cm³: 9.98 12.18 14.87 13.86 12.33 10.05 10.05 11.91
DFT total energy list, top to bottom, in eV for the cell shown: -32.98 -12.15 -22.61 -16.15 -66.28 -19.51 -19.47 -19.16